(1)
# FeHPd2

A relaxed structure of FeHPd2 (PBE, the Alexandria database).

Summary:
spin magnetization: 3.70 μB per formula unit
DOS(E_F): 3.641 states/eV/f.u.
density: 8.95 g/cm3
raw total energy: -5.18 eV per atom
energy above the lowest structure with this stoichiometry: 415.7 meV per atom

abc: 5.8485 5.8485 5.8485
angles: 90.00 90.00 90.00
With the nearest neighbours (Å) after each atom.
Fractional positions:
Fe1 0.0000 0.0000 0.0000  8 Pd 2.53
Fe2 0.0000 0.5000 0.5000  8 Pd 2.53
Fe3 0.5000 0.0000 0.5000  8 Pd 2.53
Fe4 0.5000 0.5000 0.0000  8 Pd 2.53
H1 0.0000 0.0000 0.5000  8 Pd 2.53
H2 0.0000 0.5000 0.0000  8 Pd 2.53
H3 0.5000 0.0000 0.0000  8 Pd 2.53
H4 0.5000 0.5000 0.5000  8 Pd 2.53
Pd1 0.2500 0.2500 0.2500  4 H 2.53, 4 Fe 2.53
Pd2 0.2500 0.2500 0.7500  4 H 2.53, 4 Fe 2.53
Pd3 0.2500 0.7500 0.2500  4 H 2.53, 4 Fe 2.53
Pd4 0.2500 0.7500 0.7500  4 H 2.53, 4 Fe 2.53
Pd5 0.7500 0.2500 0.2500  4 H 2.53, 4 Fe 2.53
Pd6 0.7500 0.2500 0.7500  4 H 2.53, 4 Fe 2.53
Pd7 0.7500 0.7500 0.2500  4 H 2.53, 4 Fe 2.53
Pd8 0.7500 0.7500 0.7500  4 H 2.53, 4 Fe 2.53

(2)
# FeH3Pd

A relaxed structure of FeH3Pd (PBE, the Alexandria database).

Summary:
spin magnetization: 1.69 μB per formula unit
DOS(E_F): 2.852 states/eV/f.u.
density: 7.65 g/cm3
raw total energy: -4.59 eV per atom
energy above the lowest structure with this stoichiometry: 0.0 meV per atom

abc: 2.6452 4.9670 5.4597
angles: 90.00 90.00 90.00
With the nearest neighbours (Å) after each atom.
Fractional positions:
Fe1 0.2500 0.2500 0.0202  8 H 1.73-1.86
Fe2 0.7500 0.7500 0.9798  8 H 1.73-1.86
H1 0.2500 0.5785 0.1250  1 H 1.70, 3 Fe 1.73-1.76
H2 0.2500 0.7500 0.7399  2 Fe 1.86, 2 Pd 1.91
H3 0.2500 0.9215 0.1250  1 H 1.70, 3 Fe 1.73-1.76
H4 0.7500 0.0785 0.8750  1 H 1.70, 3 Fe 1.73-1.76
H5 0.7500 0.2500 0.2601  2 Fe 1.86, 2 Pd 1.91
H6 0.7500 0.4215 0.8750  1 H 1.70, 3 Fe 1.73-1.76
Pd1 0.2500 0.2500 0.5121  2 H 1.91
Pd2 0.7500 0.7500 0.4879  2 H 1.91

(3)
# FeH2Pd4

A relaxed structure of FeH2Pd4 (PBE, the Alexandria database).

Summary:
spin magnetization: 3.85 μB per formula unit
DOS(E_F): 2.849 states/eV/f.u.
density: 9.90 g/cm3
raw total energy: -5.15 eV per atom

abc: 5.4801 5.4801 7.0675
angles: 99.28 99.28 125.31
With the nearest neighbours (Å) after each atom.
Fractional positions:
Fe1 0.1247 0.8753 0.5000  2 H 2.08
Fe2 0.8753 0.1247 0.0000  2 H 2.08
H1 0.1206 0.6080 0.6788  3 Pd 1.84-1.88
H2 0.6080 0.1206 0.1788  3 Pd 1.84-1.88
H3 0.6776 0.6900 0.3221  3 Pd 1.84-1.89
H4 0.6900 0.6776 0.8221  3 Pd 1.84-1.89
Pd1 0.2609 0.4164 0.7970  2 H 1.84-1.87
Pd2 0.3066 0.9760 0.8920  2 H 1.88-2.09
Pd3 0.3714 0.7145 0.2015  2 H 1.84-1.87
Pd4 0.4164 0.2609 0.2970  2 H 1.84-1.87
Pd5 0.6622 0.8342 0.6071  2 H 1.89-2.08
Pd6 0.7145 0.3714 0.7015  2 H 1.84-1.87
Pd7 0.8342 0.6622 0.1071  2 H 1.89-2.08
Pd8 0.9760 0.3066 0.3920  2 H 1.88-2.09

(4)
# FeH6Pd5

A relaxed structure of FeH6Pd5 (PBE, the Alexandria database).

Summary:
spin magnetization: 3.22 μB per formula unit
DOS(E_F): 5.625 states/eV/f.u.
density: 9.55 g/cm3
raw total energy: -4.57 eV per atom

abc: 5.0101 5.0118 5.0198
angles: 60.12 70.84 80.43
With the nearest neighbours (Å) after each atom.
Fractional positions:
Fe1 0.0000 0.0000 0.0000  6 H 1.98-2.08
H1 0.2361 0.3210 0.5951  1 Fe 1.98, 5 Pd 2.01-2.17
H2 0.2453 0.6848 0.9041  1 Fe 1.99, 5 Pd 2.00-2.14
H3 0.2650 0.0035 0.2415  5 Pd 1.97-2.12, 1 Fe 2.08
H4 0.7350 0.9965 0.7585  5 Pd 1.97-2.12, 1 Fe 2.08
H5 0.7547 0.3152 0.0959  1 Fe 1.99, 5 Pd 2.00-2.14
H6 0.7639 0.6790 0.4049  1 Fe 1.98, 5 Pd 2.01-2.17
Pd1 0.9996 0.3373 0.3315  6 H 2.01-2.12
Pd2 0.0004 0.6627 0.6685  6 H 2.01-2.12
Pd3 0.5000 0.0000 0.5000  6 H 2.00-2.05
Pd4 0.5000 0.3223 0.8392  6 H 1.97-2.17
Pd5 0.5000 0.6777 0.1608  6 H 1.97-2.17

(5)
# FeHPd

A relaxed structure of FeHPd (PBE, the Alexandria database).

Summary:
spin magnetization: 2.92 μB per formula unit
DOS(E_F): 1.686 states/eV/f.u.
density: 8.57 g/cm3
raw total energy: -5.51 eV per atom

abc: 2.6682 2.6682 8.8848
angles: 90.00 90.00 90.00
With the nearest neighbours (Å) after each atom.
Fractional positions:
Fe1 0.0000 0.0000 0.0000  4 H 1.90
Fe2 0.5000 0.5000 0.5000  4 H 1.90
H1 0.0000 0.0000 0.5200  4 Fe 1.90, 1 Pd 2.11
H2 0.5000 0.5000 0.0200  4 Fe 1.90, 1 Pd 2.11
Pd1 0.0000 0.0000 0.2826  1 H 2.11
Pd2 0.5000 0.5000 0.7826  1 H 2.11

(6)
# Fe3HPd

A relaxed structure of Fe3HPd (PBE, the Alexandria database).

Summary:
spin magnetization: 10.56 μB per formula unit
DOS(E_F): 5.876 states/eV/f.u.
density: 4.40 g/cm3
raw total energy: -5.08 eV per atom
energy above the lowest structure with this stoichiometry: 1680.0 meV per atom

abc: 4.6991 4.6991 4.6991
angles: 90.00 90.00 90.00
With the nearest neighbours (Å) after each atom.
Fractional positions:
Fe1 0.0000 0.0000 0.5000  2 Pd 2.35
Fe2 0.0000 0.5000 0.0000  2 Pd 2.35
Fe3 0.5000 0.0000 0.0000  2 Pd 2.35
H1 0.5000 0.5000 0.5000  12 Fe 3.32
Pd1 0.0000 0.0000 0.0000  6 Fe 2.35

(7)
# Fe2H2Pd5

A relaxed structure of Fe2H2Pd5 (PBE, the Alexandria database).

Summary:
spin magnetization: 7.17 μB per formula unit
DOS(E_F): 3.967 states/eV/f.u.
density: 9.96 g/cm3
raw total energy: -5.58 eV per atom

abc: 4.8614 4.8614 6.2426
angles: 97.26 97.26 47.49
With the nearest neighbours (Å) after each atom.
Fractional positions:
Fe1 0.0656 0.0656 0.1938  1 H 2.17
Fe2 0.9344 0.9344 0.8062  1 H 2.17
H1 0.2969 0.2969 0.3590  5 Pd 1.90-2.03
H2 0.7031 0.7031 0.6410  5 Pd 1.90-2.03
Pd1 0.2147 0.2147 0.6470  3 H 1.96-2.03
Pd2 0.3624 0.3624 0.0690  1 H 1.98
Pd3 0.5000 0.5000 0.5000  2 H 1.90
Pd4 0.6376 0.6376 0.9310  1 H 1.98
Pd5 0.7853 0.7853 0.3530  3 H 1.96-2.03

(8)
# FeH5Pd4

A relaxed structure of FeH5Pd4 (PBE, the Alexandria database).

Summary:
spin magnetization: 3.22 μB per formula unit
DOS(E_F): 4.304 states/eV/f.u.
density: 9.47 g/cm3
raw total energy: -4.62 eV per atom

abc: 5.0061 5.0061 5.0061
angles: 99.59 99.59 131.83
With the nearest neighbours (Å) after each atom.
Fractional positions:
Fe1 0.0000 0.0000 0.0000  6 H 1.96-2.04
H1 0.0989 0.7136 0.8125  1 Fe 1.96, 5 Pd 1.99-2.17
H2 0.2864 0.0989 0.3853  1 Fe 1.96, 5 Pd 1.99-2.17
H3 0.5000 0.5000 0.0000  4 Pd 2.03, 2 Fe 2.04
H4 0.7136 0.9011 0.6147  1 Fe 1.96, 5 Pd 1.99-2.17
H5 0.9011 0.2864 0.1875  1 Fe 1.96, 5 Pd 1.99-2.17
Pd1 0.2037 0.3948 0.5985  6 H 1.99-2.17
Pd2 0.3948 0.7963 0.1911  6 H 1.99-2.17
Pd3 0.6052 0.2037 0.8089  6 H 1.99-2.17
Pd4 0.7963 0.6052 0.4015  6 H 1.99-2.17

(9)
# Pm2FeH6Pd

A relaxed structure of Pm2FeH6Pd (PBE, the Alexandria database).

Summary:
spin magnetization: 0.00 μB per formula unit
DOS(E_F): 3.060 states/eV/f.u.
density: 7.67 g/cm3
raw total energy: -4.80 eV per atom

abc: 5.1923 5.1923 5.1923
angles: 119.80 119.80 90.34
With the nearest neighbours (Å) after each atom.
Fractional positions:
Pm1 0.2500 0.7500 0.5000  12 H 2.60-2.61
Pm2 0.7500 0.2500 0.5000  12 H 2.60-2.61
Fe1 0.0000 0.0000 0.0000  6 H 1.67
H1 0.2263 0.2263 0.4526  1 Fe 1.67
H2 0.2263 0.7737 0.0000  1 Fe 1.67
H3 0.2275 0.2275 0.0000  1 Fe 1.67
H4 0.7725 0.7725 0.0000  1 Fe 1.67
H5 0.7737 0.2263 0.0000  1 Fe 1.67
H6 0.7737 0.7737 0.5474  1 Fe 1.67
Pd1 0.5000 0.5000 0.0000  6 H 2.00-2.02

(10)
# PmFeH6Pd

A relaxed structure of PmFeH6Pd (PBE, the Alexandria database).

Summary:
spin magnetization: 1.59 μB per formula unit
DOS(E_F): 3.463 states/eV/f.u.
density: 6.66 g/cm3
raw total energy: -4.56 eV per atom

abc: 4.5898 4.5898 4.2825
angles: 90.00 90.00 120.00
With the nearest neighbours (Å) after each atom.
Fractional positions:
Pm1 0.0000 0.0000 0.0000  12 H 2.51
Fe1 0.3333 0.6667 0.5000  6 H 1.63
H1 0.0366 0.5183 0.2363  1 Fe 1.63
H2 0.0366 0.5183 0.7637  1 Fe 1.63
H3 0.4817 0.5183 0.2363  1 Fe 1.63
H4 0.4817 0.5183 0.7637  1 Fe 1.63
H5 0.4817 0.9634 0.2363  1 Fe 1.63
H6 0.4817 0.9634 0.7637  1 Fe 1.63
Pd1 0.6667 0.3333 0.5000  6 H 1.85

(11)
# PrFeH6Pd

A relaxed structure of PrFeH6Pd (PBE, the Alexandria database).

Summary:
spin magnetization: 1.64 μB per formula unit
DOS(E_F): 3.746 states/eV/f.u.
density: 6.38 g/cm3
raw total energy: -4.57 eV per atom

abc: 4.6241 4.6241 4.3434
angles: 90.00 90.00 120.00
With the nearest neighbours (Å) after each atom.
Fractional positions:
Pr1 0.0000 0.0000 0.0000  12 H 2.54
Fe1 0.6667 0.3333 0.5000  6 H 1.64
H1 0.5177 0.0355 0.2417  1 Fe 1.64
H2 0.5177 0.0355 0.7583  1 Fe 1.64
H3 0.5177 0.4823 0.2417  1 Fe 1.64
H4 0.5177 0.4823 0.7583  1 Fe 1.64
H5 0.9645 0.4823 0.2417  1 Fe 1.64
H6 0.9645 0.4823 0.7583  1 Fe 1.64
Pd1 0.3333 0.6667 0.5000  6 H 1.85

(12)
# Fe2HPdPt

A relaxed structure of Fe2HPdPt (PBE, the Alexandria database).

Summary:
spin magnetization: 0.02 μB per formula unit
DOS(E_F): 10.320 states/eV/f.u.
density: 12.71 g/cm3
raw total energy: -6.08 eV per atom
energy above the lowest structure with this stoichiometry: 283.8 meV per atom

abc: 3.7774 3.7774 3.7914
angles: 90.00 90.00 90.00
With the nearest neighbours (Å) after each atom.
Fractional positions:
Fe1 0.0000 0.5000 0.0000  2 H 1.89
Fe2 0.5000 0.0000 0.0000  2 H 1.89
H1 0.0000 0.0000 0.0000  4 Fe 1.89, 2 Pd 1.90
Pd1 0.0000 0.0000 0.5000  2 H 1.90
Pt1 0.5000 0.5000 0.5000  4 Pd 2.67, 8 Fe 2.68

(13)
# Fe2HPdPt

A relaxed structure of Fe2HPdPt (PBE, the Alexandria database).

Summary:
spin magnetization: 6.51 μB per formula unit
DOS(E_F): 2.895 states/eV/f.u.
density: 11.85 g/cm3
raw total energy: -6.36 eV per atom
energy above the lowest structure with this stoichiometry: 0.0 meV per atom

abc: 3.8926 3.8926 3.8300
angles: 90.00 90.00 90.00
With the nearest neighbours (Å) after each atom.
Fractional positions:
Fe1 0.0000 0.5000 0.0000  2 H 1.95
Fe2 0.5000 0.0000 0.0000  2 H 1.95
H1 0.0000 0.0000 0.0000  2 Pt 1.92, 4 Fe 1.95
Pd1 0.5000 0.5000 0.5000  8 Fe 2.73, 4 Pt 2.75
Pt1 0.0000 0.0000 0.5000  2 H 1.92